Compound: Co2TcAu
Source: Alexandria via LeMat-Bulk
Functional: meta-GGA SCAN
Structure: single point on PBEsol structure

Cell: 2.676 4.319 8.912 Å, 90.00 90.00 90.00°
Space group Imm2 (No. 44)
Asymmetric unit:
Co  0.000  0.000  0.000
Co  0.000  0.500  0.286
Tc  0.000  0.500  0.735
Au  0.000  0.000  0.522

Density of states at the Fermi level = 1.040 states/eV/atom
ΔE_f = 7.67 kcal/mol of atoms
V = 12.88 A^3/atom
Distance to the lowest polymorph of the same formula = 68 meV/atom

=====

Compound: Co2TcAu
Source: Alexandria via LeMat-Bulk
Functional: meta-GGA SCAN
Structure: single point on PBEsol structure

Cell: 2.635 3.674 5.318 Å, 90.00 90.00 90.00°
Space group Pmm2 (No. 25)
Asymmetric unit:
Co  0.000  0.000  0.000
Co  0.500  0.500  0.227
Tc  0.000  0.000  0.436
Au  0.500  0.500  0.737

Density of states at the Fermi level = 0.821 states/eV/atom
ΔE_f = 6.11 kcal/mol of atoms
V = 12.87 A^3/atom
Distance to the lowest polymorph of the same formula = 0 meV/atom

=====

Compound: Co2TeAu
Source: Alexandria via LeMat-Bulk
Functional: meta-GGA SCAN
Structure: single point on PBEsol structure

Cell: 3.780 3.780 8.344 Å, 90.00 90.00 90.00°
Space group I-4m2 (No. 119)
Asymmetric unit:
Co  0.000  0.000  0.000
Co  0.000  0.500  0.250
Te  0.000  0.000  0.500
Au  0.000  0.500  0.750

Density of states at the Fermi level = 0.815 states/eV/atom
Formation energy without anion corrections = 0.416 eV per atom
V = 14.90 A^3/atom

=====

Compound: Co2TeAu
Source: Alexandria via LeMat-Bulk
Functional: meta-GGA SCAN
Structure: single point on PBEsol structure

Cell: 6.254 6.254 6.254 Å, 90.00 90.00 90.00°
Space group F-43m (No. 216)
Asymmetric unit:
Co  0.000  0.000  0.000
Co  0.250  0.250  0.250
Te  0.250  0.250  0.750
Au  0.000  0.000  0.500

Density of states at the Fermi level = 0.807 states/eV/atom
Formation energy without anion corrections = 0.607 eV per atom
V = 15.29 A^3/atom

=====

Compound: CoTe2Au
Source: Alexandria via LeMat-Bulk
Functional: meta-GGA SCAN
Structure: single point on PBEsol structure

Cell: 3.7280 3.7280 23.2679 Å, 90.00 90.00 120.00°
Space group R-3m (No. 166, hexagonal axes)
Asymmetric unit:
Co  0.0000  0.0000  0.0000
Te  0.0000  0.0000  0.3887
Au  0.0000  0.0000  0.5000

Density of states at the Fermi level = 0.334 states/eV/atom
Formation energy without anion corrections = -0.121 eV per atom
V = 23.34 A^3/atom
Distance to the lowest polymorph of the same formula = 0 meV/atom

=====

Compound: Co2TeAu
Source: Alexandria via LeMat-Bulk
Functional: meta-GGA SCAN
Structure: single point on PBEsol structure

Cell: 4.145 4.145 3.414 Å, 90.00 90.00 90.00°
Space group P4/mmm (No. 123)
Asymmetric unit:
Co  0.000  0.500  0.000
Te  0.000  0.000  0.500
Au  0.500  0.500  0.500

Density of states at the Fermi level = 0.315 states/eV/atom
Formation energy without anion corrections = 0.343 eV per atom
V = 14.66 A^3/atom

=====

Compound: CoTe2Au
Source: Alexandria via LeMat-Bulk
Functional: meta-GGA SCAN
Structure: single point on PBEsol structure

Cell: 3.422 4.243 11.631 Å, 90.00 90.00 90.00°
Space group Immm (No. 71)
Asymmetric unit:
Co  0.000  0.000  0.000
Te  0.000  0.500  0.342
Au  0.000  0.000  0.500

Density of states at the Fermi level = 0.472 states/eV/atom
Formation energy without anion corrections = 0.024 eV per atom
V = 21.11 A^3/atom
Distance to the lowest polymorph of the same formula = 144 meV/atom

=====

Compound: TiCoAu3
Source: Alexandria via LeMat-Bulk
Functional: meta-GGA SCAN
Structure: single point on PBEsol structure

Cell: 4.628 4.628 4.628 Å, 90.00 90.00 90.00°
Space group Pm-3m (No. 221)
Asymmetric unit:
Ti  0.000  0.000  0.000
Co  0.500  0.500  0.500
Au  0.000  0.500  0.500

Density of states at the Fermi level = 0.967 states/eV/atom
ΔE_f = 13.53 kcal/mol of atoms
V = 19.83 A^3/atom

=====

Compound: TlCoAu4
Source: Alexandria via LeMat-Bulk
Functional: meta-GGA SCAN
Structure: single point on PBEsol structure

Cell: 7.660 7.660 7.660 Å, 90.00 90.00 90.00°
Space group F-43m (No. 216)
Asymmetric unit:
Tl  0.000  0.000  0.000
Co  0.250  0.250  0.250
Au  0.125  0.125  0.625

Density of states at the Fermi level = 0.363 states/eV/atom
ΔE_f = 5.48 kcal/mol of atoms
V = 18.73 A^3/atom

=====

Compound: Y4CoAu
Source: Alexandria via LeMat-Bulk
Functional: meta-GGA SCAN
Structure: single point on PBEsol structure

Cell: 8.340 8.340 8.340 Å, 90.00 90.00 90.00°
Space group F-43m (No. 216)
Asymmetric unit:
Y  0.125  0.125  0.125
Co  0.250  0.250  0.750
Au  0.000  0.000  0.500

Density of states at the Fermi level = 0.656 states/eV/atom
ΔE_f = 14.81 kcal/mol of atoms
V = 24.17 A^3/atom

=====

Compound: ZnCoAu
Source: Alexandria via LeMat-Bulk
Functional: meta-GGA SCAN
Structure: single point on PBEsol structure

Cell: 5.834 5.834 5.834 Å, 90.00 90.00 90.00°
Space group F-43m (No. 216)
Asymmetric unit:
Zn  0.000  0.000  0.000
Co  0.000  0.000  0.500
Au  0.250  0.250  0.250

Density of states at the Fermi level = 0.801 states/eV/atom
ΔE_f = 6.01 kcal/mol of atoms
V = 16.54 A^3/atom

=====

Compound: Zn2CoAu
Source: Alexandria via LeMat-Bulk
Functional: meta-GGA SCAN
Structure: single point on PBEsol structure

Cell: 2.886 3.220 5.688 Å, 90.00 90.00 90.00°
Space group Pmmm (No. 47)
Asymmetric unit:
Zn  0.000  0.000  0.220
Co  0.500  0.500  0.000
Au  0.500  0.500  0.500

Density of states at the Fermi level = 0.390 states/eV/atom
ΔE_f = -2.27 kcal/mol of atoms
V = 13.22 A^3/atom